[1]
! PdPb2 | OQMD | PBE | relaxed; values from VASP
&SYSTEM
  ibrav = 0, nat = 12, ntyp = 2
/
ATOMIC_SPECIES
Pd 106.42 Pd.upf
Pb 207.20 Pb.upf
CELL_PARAMETERS angstrom
7.221 0.000 0.000
0.000 6.487 0.000
0.000 0.000 6.503
ATOMIC_POSITIONS angstrom
Pd 0.436 1.431 0.000
Pd 3.174 1.431 3.251
Pd 4.047 5.056 0.000
Pd 6.785 5.056 3.251
Pb 0.632 2.521 3.623
Pb 1.735 5.883 4.964
Pb 1.875 5.883 1.712
Pb 2.979 2.521 0.371
Pb 4.242 3.966 3.623
Pb 5.346 0.604 4.964
Pb 5.486 0.604 1.712
Pb 6.589 3.966 0.371
! SG: No. 29

---

[2]
! Pd9Pb | OQMD | PBE | relaxed; values from VASP
&SYSTEM
  ibrav = 0, nat = 20, ntyp = 2
/
ATOMIC_SPECIES
Pd 106.42 Pd.upf
Pb 207.20 Pb.upf
CELL_PARAMETERS angstrom
2.915 0.000 0.000
0.000 2.915 0.000
0.000 0.000 47.999
ATOMIC_POSITIONS angstrom
Pd 0.729 0.729 0.897
Pd 0.729 0.729 4.494
Pd 0.729 0.729 8.105
Pd 0.729 0.729 11.729
Pd 0.729 0.729 15.460
Pd 0.729 0.729 34.419
Pd 0.729 0.729 38.085
Pd 0.729 0.729 41.701
Pd 0.729 0.729 45.306
Pd 2.187 2.187 2.694
Pd 2.187 2.187 6.298
Pd 2.187 2.187 9.914
Pd 2.187 2.187 13.580
Pd 2.187 2.187 32.540
Pd 2.187 2.187 36.270
Pd 2.187 2.187 39.894
Pd 2.187 2.187 43.506
Pd 2.187 2.187 47.102
Pb 0.729 0.729 30.430
Pb 2.187 2.187 17.569
! SG: No. 129

---

[3]
! PdPb | OQMD | PBE | relaxed; values from VASP
&SYSTEM
  ibrav = 0, nat = 2, ntyp = 2
/
ATOMIC_SPECIES
Pd 106.42 Pd.upf
Pb 207.20 Pb.upf
CELL_PARAMETERS angstrom
0.000 2.844 2.844
2.844 0.000 2.844
2.844 2.844 0.000
ATOMIC_POSITIONS angstrom
Pd 0.000 0.000 0.000
Pb 2.844 2.844 2.844
! SG: No. 225

---

[4]
! PdPb | OQMD | PBE | relaxed; values from VASP
&SYSTEM
  ibrav = 0, nat = 2, ntyp = 2
/
ATOMIC_SPECIES
Pd 106.42 Pd.upf
Pb 207.20 Pb.upf
CELL_PARAMETERS angstrom
0.000 3.103 3.103
3.103 0.000 3.103
3.103 3.103 0.000
ATOMIC_POSITIONS angstrom
Pd 0.000 0.000 0.000
Pb 1.552 1.552 1.552
! SG: No. 216

---

[5]
! Pd9Pb | OQMD | PBE | relaxed; values from VASP
&SYSTEM
  ibrav = 0, nat = 20, ntyp = 2
/
ATOMIC_SPECIES
Pd 106.42 Pd.upf
Pb 207.20 Pb.upf
CELL_PARAMETERS angstrom
2.875 0.000 0.000
0.000 3.818 0.000
0.000 0.000 40.506
ATOMIC_POSITIONS angstrom
Pd 0.719 0.955 0.680
Pd 0.719 0.955 3.409
Pd 0.719 0.955 6.145
Pd 0.719 0.955 8.906
Pd 0.719 0.955 11.715
Pd 0.719 0.955 30.208
Pd 0.719 0.955 32.980
Pd 0.719 0.955 35.735
Pd 0.719 0.955 38.462
Pd 2.156 2.864 2.044
Pd 2.156 2.864 4.771
Pd 2.156 2.864 7.526
Pd 2.156 2.864 10.297
Pd 2.156 2.864 28.791
Pd 2.156 2.864 31.600
Pd 2.156 2.864 34.361
Pd 2.156 2.864 37.097
Pd 2.156 2.864 39.826
Pb 0.719 0.955 27.181
Pb 2.156 2.864 13.324
! SG: No. 59

---

[6]
! Pd5Pb3 | OQMD | PBE | relaxed; values from VASP
&SYSTEM
  ibrav = 0, nat = 16, ntyp = 2
/
ATOMIC_SPECIES
Pd 106.42 Pd.upf
Pb 207.20 Pb.upf
CELL_PARAMETERS angstrom
6.216 -3.895 0.000
6.216 3.895 0.000
-3.793 0.000 6.321
ATOMIC_POSITIONS angstrom
Pd -0.561 0.000 2.591
Pd 1.598 1.311 4.142
Pd 2.145 0.025 1.532
Pd -1.052 -1.255 5.261
Pd 4.862 0.094 0.528
Pd 7.039 1.311 2.179
Pd 3.776 0.094 5.792
Pd 6.493 0.025 4.788
Pd 9.199 0.000 3.729
Pd 9.690 -1.255 1.060
Pb 6.216 2.843 0.000
Pb 4.319 1.036 3.160
Pb 1.725 -1.422 4.503
Pb 3.576 -2.413 1.310
Pb 6.913 -1.422 1.818
Pb 5.062 -2.413 5.010
! SG: No. 5

---

[7]
! PdPb2 | OQMD | PBE | relaxed; values from VASP
&SYSTEM
  ibrav = 0, nat = 6, ntyp = 2
/
ATOMIC_SPECIES
Pd 106.42 Pd.upf
Pb 207.20 Pb.upf
CELL_PARAMETERS angstrom
0.000 4.376 4.376
4.376 0.000 4.376
4.376 4.376 0.000
ATOMIC_POSITIONS angstrom
Pd 1.094 1.094 1.094
Pd 7.657 7.657 7.657
Pb 4.376 2.188 2.188
Pb 2.188 4.376 2.188
Pb 2.188 2.188 4.376
Pb 4.376 4.376 4.376
! SG: No. 227

---

[8]
! PdPb | OQMD | PBE | relaxed; values from VASP
&SYSTEM
  ibrav = 0, nat = 16, ntyp = 2
/
ATOMIC_SPECIES
Pd 106.42 Pd.upf
Pb 207.20 Pb.upf
CELL_PARAMETERS angstrom
7.940 0.000 0.000
-3.970 6.876 0.000
0.000 0.000 6.456
ATOMIC_POSITIONS angstrom
Pd 0.000 0.000 0.000
Pd 0.000 0.000 3.228
Pd -1.602 3.659 0.178
Pd 1.602 3.659 0.178
Pd 0.000 6.434 0.178
Pd 3.970 0.442 3.406
Pd 2.368 3.217 3.406
Pd 5.572 3.217 3.406
Pb 0.000 2.303 4.780
Pb -1.975 5.725 4.780
Pb 0.000 4.584 2.286
Pb 1.995 1.152 1.552
Pb 1.975 5.725 4.780
Pb 3.970 2.292 5.514
Pb 5.945 1.152 1.552
Pb 3.970 4.573 1.552
! SG: No. 186

---

VASP energy, record by record: -52.003; -99.897; -9.044; -8.543; -100.552; -78.267; -22.165; -74.886 eV/cell
Calculated density, record by record: 11.36; 9.48; 11.33; 8.71; 8.70; 12.52; 10.32; 11.82 Mg/m³